Record 1
First-principles (PBE-GGA) data for crystalline Mn2ReIrN at its relaxed geometry, as listed in Alexandria.

Summary:
total DFT energy (no corrections) = -9.635 eV/atom
space-group type = P4/mmm
calculated volume = 11.6 Å³/atom
ΔE_f (raw) = -0.040 eV per atom
DOS at the Fermi energy = 4.36 states/eV/f.u.
M_tot = 0.01 μB/cell

a b c (Å): 3.823 3.823 3.969
angles (deg): 90.00 90.00 90.00
Fractional positions:
1 Re 0.000 0.000 0.500
2 Ir 0.500 0.500 0.500
3 Mn 0.000 0.500 0.000
4 Mn 0.500 0.000 0.000
5 N 0.000 0.000 0.000

---

Record 2
First-principles (PBE-GGA) data for crystalline MnIrRh2N at its relaxed geometry, as listed in Alexandria.

Summary:
total DFT energy (no corrections) = -6.045 eV/atom
space-group type = P4/mmm
calculated volume = 22.0 Å³/atom
ΔE_f (raw) = 2.166 eV per atom
DOS at the Fermi energy = 3.79 states/eV/f.u.
M_tot = 1.98 μB/cell

a b c (Å): 4.708 4.965 4.708
angles (deg): 90.00 90.00 90.00
Fractional positions:
1 Ir 0.000 0.000 0.000
2 Rh 0.000 0.000 0.500
3 Rh 0.500 0.000 0.000
4 Mn 0.000 0.500 0.000
5 N 0.500 0.500 0.500

---

Record 3
First-principles (PBE-GGA) data for crystalline MnIrRuN2 at its relaxed geometry, as listed in Alexandria.

Summary:
total DFT energy (no corrections) = -7.287 eV/atom
space-group type = P4/mmm
calculated volume = 14.7 Å³/atom
ΔE_f (raw) = 1.504 eV per atom
DOS at the Fermi energy = 6.83 states/eV/f.u.
M_tot = 0.21 μB/cell

a b c (Å): 3.668 5.471 3.668
angles (deg): 90.00 90.00 90.00
Fractional positions:
1 Ru 0.000 0.000 0.000
2 Ir 0.000 0.500 0.000
3 Mn 0.500 0.500 0.500
4 N 0.000 0.000 0.500
5 N 0.500 0.000 0.000

---

Record 4
First-principles (PBE-GGA) data for crystalline Mn2IrRuN at its relaxed geometry, as listed in Alexandria.

Summary:
total DFT energy (no corrections) = -8.969 eV/atom
space-group type = P4/mmm
calculated volume = 12.0 Å³/atom
ΔE_f (raw) = -0.009 eV per atom
DOS at the Fermi energy = 4.26 states/eV/f.u.
M_tot = 4.58 μB/cell

a b c (Å): 3.914 3.914 3.933
angles (deg): 90.00 90.00 90.00
Fractional positions:
1 Ru 0.000 0.000 0.500
2 Ir 0.500 0.500 0.500
3 Mn 0.000 0.500 0.000
4 Mn 0.500 0.000 0.000
5 N 0.000 0.000 0.000

---

Record 5
First-principles (PBE-GGA) data for crystalline MnIrS2N at its relaxed geometry, as listed in Alexandria.

Summary:
energy above the lowest structure with this stoichiometry = 1.20 eV per formula unit
total DFT energy (no corrections) = -6.236 eV/atom
space-group type = P4/mmm
calculated volume = 14.1 Å³/atom
ΔE_f (raw) = 0.686 eV per atom
DOS at the Fermi energy = 3.40 states/eV/f.u.
M_tot = 1.23 μB/cell

a b c (Å): 4.579 4.579 3.371
angles (deg): 90.00 90.00 90.00
Fractional positions:
1 S 0.000 0.500 0.000
2 S 0.500 0.000 0.000
3 Ir 0.500 0.500 0.500
4 Mn 0.000 0.000 0.000
5 N 0.000 0.000 0.500

---

Record 6
First-principles (PBE-GGA) data for crystalline MnIrS2N at its relaxed geometry, as listed in Alexandria.

Summary:
energy above the lowest structure with this stoichiometry = 0.00 eV per formula unit
total DFT energy (no corrections) = -6.476 eV/atom
space-group type = P4/mmm
calculated volume = 17.5 Å³/atom
ΔE_f (raw) = 0.446 eV per atom
DOS at the Fermi energy = 2.13 states/eV/f.u.
M_tot = 4.78 μB/cell

a b c (Å): 4.894 4.894 3.645
angles (deg): 90.00 90.00 90.00
Fractional positions:
1 S 0.000 0.500 0.000
2 S 0.500 0.000 0.000
3 Ir 0.000 0.000 0.000
4 Mn 0.500 0.500 0.500
5 N 0.000 0.000 0.500